Entry 1:
# Ac5PrIn4

A relaxed Ac5PrIn4 crystal (PBE, the Alexandria database).

```
10
Lattice="-1.040 -0.990 -3.626 -3.386 -1.387 1.350 -9.868 21.204 -2.959" Properties=species:S:1:pos:R:3 pbc="T T T"
Ac -3.355 1.264 -1.480
Ac -5.244 5.323 -2.047
Ac -7.147 9.413 -2.617
Ac -9.051 13.504 -3.188
Ac -10.940 17.563 -3.754
Pr 0.000 0.000 0.000
In -2.083 4.475 -0.624
In -3.981 8.554 -1.194
In -5.887 12.650 -1.765
In -7.786 16.729 -2.334
```

**Volume**: 358.7 Å³ per cell
**Final energy**: -3.95 eV per atom

***

Entry 2:
# ZrPdO2

A relaxed ZrPdO2 crystal (PBE, the Alexandria database).

```
4
Lattice="1.946 0.000 5.922 -0.973 1.685 5.922 -0.973 -1.685 5.922" Properties=species:S:1:pos:R:3 pbc="T T T"
O 0.000 0.000 15.702
O 0.000 0.000 2.066
Zr 0.000 0.000 8.884
Pd 0.000 0.000 0.000
```

**Raw formation energy**: -2.01 eV per atom
**Volume**: 58.2 Å³ per cell
**Final energy**: -7.92 eV per atom

***

Entry 3:
# Ti4SnAs

A relaxed Ti4SnAs crystal (PBE, the Alexandria database).

```
12
Lattice="-1.182 -1.391 -4.787 6.358 -1.065 -1.259 -1.623 -5.390 4.710" Properties=species:S:1:pos:R:3 pbc="T T T"
Ti -1.585 -5.401 1.361
Ti 1.699 -2.217 -3.117
Ti 5.138 -2.445 -2.698
Ti 1.854 -5.629 1.781
Ti 3.351 -5.815 -2.680
Ti 3.034 -2.971 -0.687
Ti 0.202 -2.032 1.344
Ti 0.519 -4.875 -0.649
Sn 3.721 -2.033 -5.187
Sn -0.168 -5.814 3.850
As -1.403 -3.391 -0.039
As 2.367 -3.228 1.725
```

**Volume**: 225.1 Å³ per cell
**Final energy**: -7.00 eV per atom

***

Entry 4:
# SrCdTe2

A relaxed SrCdTe2 crystal (PBE, the Alexandria database).

```
4
Lattice="2.987 0.000 8.409 -1.494 2.587 8.409 -1.494 -2.587 8.409" Properties=species:S:1:pos:R:3 pbc="T T T"
Sr 0.000 0.000 12.613
Te 0.000 0.000 22.582
Te 0.000 0.000 2.645
Cd 0.000 0.000 0.000
```

**Raw formation energy**: -0.88 eV per atom
**Volume**: 195.0 Å³ per cell
**Final energy**: -3.10 eV per atom

***

Which value of final energy does entry 2 give?
-7.92 eV per atom